Record 1
! ZrAlCl (PBE, relaxed); values from VASP
&SYSTEM
  ibrav = 0, nat = 6, ntyp = 3
/
ATOMIC_SPECIES
Al 26.98 Al.upf
Zr 91.22 Zr.upf
Cl 35.45 Cl.upf
ATOMIC_POSITIONS crystal
Al 0.6137 0.5000 0.6424
Al 0.5970 0.0000 0.6401
Zr 0.1926 0.2504 0.9237
Zr 0.1925 0.7497 0.9237
Cl 0.3118 0.0000 0.2630
Cl 0.7442 0.5000 0.1956
CELL_PARAMETERS angstrom
3.1663 -0.0001 0.0609
-0.0003 6.1338 -0.0001
-1.0899 -0.0001 6.4503
! * E above lowest polymorph: 186 meV/atom

Record 2
! ZrAlCl2 (PBE, relaxed); values from VASP
&SYSTEM
  ibrav = 0, nat = 4, ntyp = 3
/
ATOMIC_SPECIES
Al 26.98 Al.upf
Zr 91.22 Zr.upf
Cl 35.45 Cl.upf
ATOMIC_POSITIONS crystal
Al 0.3098 0.8098 0.5000
Zr 0.5130 0.5130 0.0000
Cl 0.9871 0.9871 0.0000
Cl 0.6901 0.1901 0.5000
CELL_PARAMETERS angstrom
6.5340 0.0292 0.0020
4.0389 5.1363 -0.0020
-4.8324 -3.5121 2.6471
! * E above lowest polymorph: 487 meV/atom

Record 3
! ZrAl2Cl8 (PBE, relaxed); values from VASP
&SYSTEM
  ibrav = 0, nat = 11, ntyp = 3
/
ATOMIC_SPECIES
Zr 91.22 Zr.upf
Al 26.98 Al.upf
Cl 35.45 Cl.upf
ATOMIC_POSITIONS crystal
Zr 0.0000 0.0000 0.0000
Al 0.6451 0.8134 0.8134
Al 0.3549 0.1866 0.1866
Cl 0.2426 0.2810 0.9172
Cl 0.7574 0.0828 0.7190
Cl 0.2841 0.8265 0.8265
Cl 0.7159 0.1735 0.1735
Cl 0.2426 0.9172 0.2810
Cl 0.7574 0.7190 0.0828
Cl 0.7634 0.6520 0.6520
Cl 0.2366 0.3480 0.3480
CELL_PARAMETERS angstrom
-4.5587 2.3199 3.4708
1.6580 -4.2915 6.4379
4.6960 4.3488 4.6527
! * DFT total energy: -4.224 eV/atom

| no. | total magnetic moment (μB per cell) |
| --- | --- |
| 1 | 0.000 |
| 2 | 0.000 |
| 3 | 2.000 |